Record 1
Compound: Ca3Ir
Source: Alexandria
Functional: PBE-GGA
Structure: relaxed

Results
As for the formation energy from the elements: 0.00 eV/atom. The spin magnetization is 0.000 μB/atom. The raw total energy is -3.72 eV per atom. Its space group is No. 139.

Unit cell a=9.407 b=9.407 c=9.407 alpha=149.99 beta=149.99 gamma=42.96
Atoms (fractional coordinates):
Ca1 0.000 0.500 0.500
Ca2 0.128 0.128 0.000
Ca3 0.250 0.750 0.500
Ca4 0.500 0.000 0.500
Ca5 0.750 0.250 0.500
Ca6 0.872 0.872 0.000
Ir1 0.362 0.362 0.000
Ir2 0.638 0.638 0.000

***

Record 2
Compound: Ca3Ir
Source: Alexandria
Functional: PBE-GGA
Structure: relaxed

Results
As for the formation energy from the elements: 0.06 eV/atom. The spin magnetization is 0.000 μB/atom. The raw total energy is -3.66 eV per atom. Its space group is No. 223.

Unit cell a=5.958 b=5.958 c=5.958 alpha=90.00 beta=90.00 gamma=90.00
Atoms (fractional coordinates):
Ca1 0.000 0.250 0.500
Ca2 0.000 0.750 0.500
Ca3 0.250 0.500 0.000
Ca4 0.500 0.000 0.250
Ca5 0.500 0.000 0.750
Ca6 0.750 0.500 0.000
Ir1 0.000 0.000 0.000
Ir2 0.500 0.500 0.500

***

Record 3
Compound: CaIr3
Source: Alexandria
Functional: PBE-GGA
Structure: relaxed

Results
As for the formation energy from the elements: 0.14 eV/atom. The spin magnetization is 0.000 μB/atom. The raw total energy is -7.00 eV per atom. Its space group is No. 10.

Unit cell a=2.824 b=4.662 c=5.258 alpha=90.00 beta=101.71 gamma=90.00
Atoms (fractional coordinates):
Ca1 0.000 0.000 0.000
Ir1 0.347 0.500 0.719
Ir2 0.500 0.000 0.500
Ir3 0.653 0.500 0.281

***

Record 4
Compound: CaIr5
Source: Alexandria
Functional: PBE-GGA
Structure: relaxed

Results
As for the formation energy from the elements: 0.06 eV/atom. The spin magnetization is 0.000 μB/atom. The raw total energy is -7.66 eV per atom. Its space group is No. 8.

Unit cell a=5.341 b=5.341 c=6.818 alpha=101.59 beta=101.59 gamma=30.03
Atoms (fractional coordinates):
Ca1 0.000 0.000 0.000
Ir1 0.030 0.030 0.596
Ir2 0.303 0.303 0.673
Ir3 0.373 0.373 0.302
Ir4 0.657 0.657 0.351
Ir5 0.736 0.736 0.975

***

Record 5
Compound: Ca4Ir5
Source: Alexandria
Functional: PBE-GGA
Structure: relaxed

Results
As for the formation energy from the elements: 0.25 eV/atom. The spin magnetization is 0.000 μB/atom. The raw total energy is -5.56 eV per atom. Its space group is No. 193.

Unit cell a=8.271 b=8.271 c=5.811 alpha=90.00 beta=90.00 gamma=120.00
Atoms (fractional coordinates):
Ca1 0.000 0.000 0.000
Ca2 0.000 0.000 0.500
Ca3 0.000 0.352 0.250
Ca4 0.000 0.648 0.750
Ca5 0.352 0.000 0.250
Ca6 0.352 0.352 0.750
Ca7 0.648 0.000 0.750
Ca8 0.648 0.648 0.250
Ir1 0.000 0.338 0.750
Ir2 0.000 0.662 0.250
Ir3 0.333 0.667 0.000
Ir4 0.333 0.667 0.500
Ir5 0.338 0.000 0.750
Ir6 0.338 0.338 0.250
Ir7 0.662 0.000 0.250
Ir8 0.662 0.662 0.750
Ir9 0.667 0.333 0.000
Ir10 0.667 0.333 0.500

***

Record 6
Compound: Ca3Ir
Source: Alexandria
Functional: PBE-GGA
Structure: relaxed

Results
As for the formation energy from the elements: -0.09 eV/atom. The spin magnetization is 0.000 μB/atom. The raw total energy is -3.80 eV per atom. Its space group is No. 194.

Unit cell a=7.181 b=7.181 c=4.825 alpha=90.00 beta=90.00 gamma=120.00
Atoms (fractional coordinates):
Ca1 0.185 0.370 0.250
Ca2 0.185 0.815 0.250
Ca3 0.370 0.185 0.750
Ca4 0.630 0.815 0.250
Ca5 0.815 0.185 0.750
Ca6 0.815 0.630 0.750
Ir1 0.333 0.667 0.750
Ir2 0.667 0.333 0.250

***

Record 7
Compound: KCa3Ir
Source: Alexandria
Functional: PBE-GGA
Structure: relaxed

Results
The energy above the most stable polymorph in this dataset comes out at 8.61 eV/f.u. As for the formation energy from the elements: 1.57 eV/atom. The spin magnetization is 0.332 μB/atom. The raw total energy is -1.62 eV per atom. Its space group is No. 221.

Unit cell a=5.318 b=5.318 c=5.318 alpha=90.00 beta=90.00 gamma=90.00
Atoms (fractional coordinates):
K1 0.000 0.000 0.000
Ca1 0.000 0.000 0.500
Ca2 0.000 0.500 0.000
Ca3 0.500 0.000 0.000
Ir1 0.500 0.500 0.500

***

Record 8
Compound: K2CaIr
Source: Alexandria
Functional: PBE-GGA
Structure: relaxed

Results
The energy above the most stable polymorph in this dataset comes out at 1.53 eV/f.u. As for the formation energy from the elements: 0.61 eV/atom. The spin magnetization is 0.000 μB/atom. The raw total energy is -2.65 eV per atom. Its space group is No. 10.

Unit cell a=3.921 b=6.048 c=5.120 alpha=90.00 beta=96.52 gamma=90.00
Atoms (fractional coordinates):
K1 0.218 0.000 0.279
K2 0.782 0.000 0.721
Ca1 0.500 0.500 0.000
Ir1 0.000 0.500 0.500

***

Record 9
Compound: KCa4Ir
Source: Alexandria
Functional: PBE-GGA
Structure: relaxed

Results
As for the formation energy from the elements: 0.75 eV/atom. The spin magnetization is 0.000 μB/atom. The raw total energy is -2.25 eV per atom. Its space group is No. 216.

Unit cell a=6.675 b=6.675 c=6.675 alpha=60.00 beta=60.00 gamma=60.00
Atoms (fractional coordinates):
K1 0.000 0.000 0.000
Ca1 0.130 0.623 0.623
Ca2 0.623 0.130 0.623
Ca3 0.623 0.623 0.130
Ca4 0.623 0.623 0.623
Ir1 0.250 0.250 0.250

***

Record 10
Compound: K2CaIr
Source: Alexandria
Functional: PBE-GGA
Structure: relaxed

Results
The energy above the most stable polymorph in this dataset comes out at 1.31 eV/f.u. As for the formation energy from the elements: 0.56 eV/atom. The spin magnetization is 0.000 μB/atom. The raw total energy is -2.71 eV per atom. Its space group is No. 139.

Unit cell a=6.570 b=6.570 c=6.570 alpha=139.72 beta=139.72 gamma=58.28
Atoms (fractional coordinates):
K1 0.250 0.750 0.500
K2 0.750 0.250 0.500
Ca1 0.000 0.000 0.000
Ir1 0.500 0.500 0.000

***

Record 11
Compound: K2CaIr
Source: Alexandria
Functional: PBE-GGA
Structure: relaxed

Results
The energy above the most stable polymorph in this dataset comes out at 2.22 eV/f.u. As for the formation energy from the elements: 0.79 eV/atom. The spin magnetization is 0.000 μB/atom. The raw total energy is -2.48 eV per atom. Its space group is No. 225.

Unit cell a=5.524 b=5.524 c=5.524 alpha=60.00 beta=60.00 gamma=60.00
Atoms (fractional coordinates):
K1 0.250 0.250 0.250
K2 0.750 0.750 0.750
Ca1 0.000 0.000 0.000
Ir1 0.500 0.500 0.500

***

Record 12
Compound: K2CaIr
Source: Alexandria
Functional: PBE-GGA
Structure: relaxed

Results
The energy above the most stable polymorph in this dataset comes out at 2.58 eV/f.u. As for the formation energy from the elements: 0.87 eV/atom. The spin magnetization is 0.152 μB/atom. The raw total energy is -2.39 eV per atom. Its space group is No. 166.

Unit cell a=12.809 b=12.809 c=12.809 alpha=15.67 beta=15.67 gamma=15.67
Atoms (fractional coordinates):
K1 0.231 0.231 0.231
K2 0.769 0.769 0.769
Ca1 0.000 0.000 0.000
Ir1 0.500 0.500 0.500

***

Record 13
Compound: KCaIr
Source: Alexandria
Functional: PBE-GGA
Structure: relaxed

Results
The energy above the most stable polymorph in this dataset comes out at 0.50 eV/f.u. As for the formation energy from the elements: 0.44 eV/atom. The spin magnetization is 0.034 μB/atom. The raw total energy is -3.54 eV per atom. Its space group is No. 216.

Unit cell a=5.012 b=5.012 c=5.012 alpha=60.00 beta=60.00 gamma=60.00
Atoms (fractional coordinates):
K1 0.000 0.000 0.000
Ca1 0.500 0.500 0.500
Ir1 0.750 0.750 0.750